The following is a PBE calculation of crystalline CaIn4Rh2 at its relaxed geometry, from Alexandria via LeMat-Bulk.

a b c (Å): 4.513 7.302 18.348
angles (deg): 90.00 90.00 90.00
Sites, in units of the cell vectors:
Ca (0.750, 0.963, 0.643)
Ca (0.250, 0.037, 0.357)
Ca (0.250, 0.463, 0.857)
Ca (0.750, 0.537, 0.143)
Rh (0.250, 0.751, 0.541)
Rh (0.750, 0.249, 0.459)
Rh (0.750, 0.251, 0.959)
Rh (0.250, 0.749, 0.041)
Rh (0.250, 0.958, 0.782)
Rh (0.750, 0.042, 0.218)
Rh (0.750, 0.458, 0.718)
Rh (0.250, 0.542, 0.282)
In (0.250, 0.255, 0.691)
In (0.750, 0.745, 0.309)
In (0.750, 0.755, 0.809)
In (0.250, 0.245, 0.191)
In (0.250, 0.668, 0.686)
In (0.750, 0.332, 0.314)
In (0.750, 0.168, 0.814)
In (0.250, 0.832, 0.186)
In (0.250, 0.138, 0.533)
In (0.750, 0.862, 0.467)
In (0.750, 0.638, 0.967)
In (0.250, 0.362, 0.033)
In (0.250, 0.496, 0.431)
In (0.750, 0.504, 0.569)
In (0.750, 0.996, 0.069)
In (0.250, 0.004, 0.931)

## Properties
Space-group type ... Pnma (62)
Mass density ... 7.75 g/cm3
DFT formation energy ... -0.418 eV per atom
VASP energy ... -4.37 eV/atom

The following is a PBE calculation of crystalline Ho7Bi2C2 at its relaxed geometry, from Alexandria via LeMat-Bulk.

a b c (Å): 3.453 9.631 9.631
angles (deg): 61.32 79.67 79.67
Sites, in units of the cell vectors:
Ho (0.810, 0.085, 0.295)
Ho (0.838, 0.388, 0.937)
Ho (0.500, 0.023, 0.977)
Ho (0.644, 0.447, 0.266)
Ho (0.356, 0.734, 0.553)
Ho (0.190, 0.705, 0.915)
Ho (0.162, 0.063, 0.612)
Bi (0.000, 0.749, 0.251)
Bi (0.500, 0.352, 0.648)
C (0.760, 0.894, 0.585)
C (0.240, 0.415, 0.106)

## Properties
Space-group type ... Imm2 (44)
Mass density ... 9.65 g/cm3
DFT formation energy ... -0.282 eV per atom
VASP energy ... -5.58 eV/atom

The following is a PBE calculation of crystalline Ba4Na3Ca at its relaxed geometry, from Alexandria via LeMat-Bulk.

a b c (Å): 4.353 6.291 15.442
angles (deg): 90.00 90.00 90.00
Sites, in units of the cell vectors:
Ba (0.500, 0.500, 0.336)
Ba (0.000, 0.500, 0.829)
Ba (0.000, 0.000, 0.172)
Ba (0.500, 0.000, 0.662)
Na (0.000, 0.500, 0.566)
Na (0.000, 0.000, 0.436)
Na (0.500, 0.000, 0.932)
Ca (0.500, 0.500, 0.067)

## Properties
Excess energy over the best structure of this formula in the dataset ... 20 meV per atom
Space-group type ... Pmm2 (25)
Mass density ... 2.59 g/cm3
DFT formation energy ... 0.039 eV per atom
VASP energy ... -1.67 eV/atom